Material: BeBTe2N
Method: DFT, PBE
State: relaxed

a = 5.346 Å, b = 5.346 Å, c = 3.053 Å
α = 90.00°, β = 90.00°, γ = 90.00°
Atoms (fractional coordinates):
1 B 0.500 0.500 0.500
2 N 0.000 0.000 0.500
3 Be 0.000 0.000 0.000
4 Te 0.000 0.500 0.000
5 Te 0.500 0.000 0.000

Values from the calculation:
- density of states at the Fermi level (states/eV per atom) = 0.37
- ΔE_f (raw) (eV/atom) = 1.0338
- energy (eV/atom) = -3.969
- symmetry = P4/mmm (123)
- E above lowest polymorph (eV/atom) = 0.525

---

Material: TaZnW2
Method: DFT, PBE
State: relaxed

a = 2.707 Å, b = 4.274 Å, c = 5.668 Å
α = 90.00°, β = 90.00°, γ = 90.00°
Atoms (fractional coordinates):
1 Zn 0.000 0.000 0.499
2 Ta 0.500 0.500 0.746
3 W 0.500 0.500 0.248
4 W 0.000 0.000 0.007

Values from the calculation:
- density of states at the Fermi level (states/eV per atom) = 0.58
- energy (eV/atom) = -9.501
- symmetry = Pmm2 (25)
- energy relative to the elements (meV per atom) = 257.6

---

Material: Tm4PdC
Method: DFT, PBE
State: relaxed

a = 6.209 Å, b = 6.888 Å, c = 7.854 Å
α = 109.78°, β = 106.51°, γ = 104.68°
Atoms (fractional coordinates):
1 C 0.186 0.936 0.872
2 C 0.814 0.064 0.128
3 Tm 0.190 0.347 0.400
4 Tm 0.710 0.053 0.400
5 Tm 0.290 0.947 0.600
6 Tm 0.574 0.284 0.089
7 Tm 0.015 0.805 0.089
8 Tm 0.985 0.195 0.911
9 Tm 0.426 0.716 0.911
10 Tm 0.810 0.653 0.600
11 Pd 0.627 0.377 0.754
12 Pd 0.373 0.623 0.246

Values from the calculation:
- density of states at the Fermi level (states/eV per atom) = 0.90
- energy (eV/atom) = -5.774
- symmetry = C2/c (15)
- energy relative to the elements (meV per atom) = -390.4

---

Material: NbInSb2Te
Method: DFT, PBE
State: relaxed

a = 5.627 Å, b = 5.627 Å, c = 5.556 Å
α = 90.00°, β = 90.00°, γ = 90.00°
Atoms (fractional coordinates):
1 Te 0.000 0.000 0.500
2 Sb 0.500 0.000 0.000
3 Sb 0.000 0.500 0.000
4 In 0.500 0.500 0.500
5 Nb 0.000 0.000 0.000

Values from the calculation:
- density of states at the Fermi level (states/eV per atom) = 0.74
- ΔE_f (raw) (eV/atom) = 0.2360
- energy (eV/atom) = -4.603
- symmetry = P4/mmm (123)
- E above lowest polymorph (eV/atom) = 0.000

---

Material: Li2BeCuN2
Method: DFT, PBE
State: relaxed

a = 3.078 Å, b = 4.202 Å, c = 9.120 Å
α = 90.00°, β = 90.00°, γ = 90.00°
Atoms (fractional coordinates):
1 Li 0.000 0.645 0.255
2 Li 0.000 0.355 0.745
3 Li 0.500 0.145 0.245
4 Li 0.500 0.855 0.755
5 N 0.000 0.274 0.113
6 N 0.000 0.726 0.887
7 N 0.500 0.226 0.613
8 N 0.500 0.774 0.387
9 Cu 0.000 0.000 0.500
10 Cu 0.500 0.500 0.000
11 Be 0.500 0.500 0.500
12 Be 0.000 0.000 0.000

Values from the calculation:
- density of states at the Fermi level (states/eV per atom) = 0.29
- ΔE_f (raw) (eV/atom) = -0.2511
- energy (eV/atom) = -4.968
- symmetry = Pnnm (58)

---

Material: PmZnPd3
Method: DFT, PBE
State: relaxed

a = 6.126 Å, b = 6.126 Å, c = 12.137 Å
α = 90.00°, β = 90.00°, γ = 120.00°
Atoms (fractional coordinates):
1 Pd 0.283 0.142 0.250
2 Pd 0.000 0.500 0.000
3 Pd 0.142 0.858 0.750
4 Pd 0.500 0.000 0.500
5 Pd 0.500 0.000 0.000
6 Pd 0.000 0.500 0.500
7 Pd 0.717 0.858 0.750
8 Pd 0.142 0.283 0.750
9 Pd 0.500 0.500 0.500
10 Pd 0.500 0.500 0.000
11 Pd 0.858 0.717 0.250
12 Pd 0.858 0.142 0.250
13 Pm 0.667 0.333 0.750
14 Pm 0.000 0.000 0.000
15 Pm 0.000 0.000 0.500
16 Pm 0.333 0.667 0.250
17 Zn 0.333 0.667 0.639
18 Zn 0.333 0.667 0.861
19 Zn 0.667 0.333 0.139
20 Zn 0.667 0.333 0.361

Values from the calculation:
- density of states at the Fermi level (states/eV per atom) = 0.34
- energy (eV/atom) = -4.849
- symmetry = P6_3/mmc (194)
- E above lowest polymorph (eV/atom) = 0.086
- energy relative to the elements (meV per atom) = -528.1

---

> Which value of density of states at the Fermi level does entry 1 give?

0.37 states/eV per atom

---

> density of states at the Fermi level of number 2 (TaZnW2)?

0.58 states/eV per atom

---

> Among the records above, which one has the lowest density of states at the Fermi level?

Li2BeCuN2

---

> Look up the density of states at the Fermi level of the second one.

0.58 states/eV per atom